This record from Alexandria via LeMat-Bulk describes InAsS3 after structural relaxation. The functional is PBE.

formation energy from raw total energies	-0.309	eV per atom
total energy	-4.263	eV per atom
volume	23.9	Å³/atom
SG	No. 36
crystal system	orthorhombic
magnetization	0.0	μB/f.u.

Lattice parameters (Å, degrees): 10.1526 10.1526 6.4206 90.00 90.00 158.87
Positions (direct):
In 0.1669 0.8331 0.5000
In 0.8331 0.1669 0.0000
As 0.3461 0.6539 0.4998
As 0.6539 0.3461 0.9998
S 0.0914 0.9086 0.1562
S 0.2508 0.7492 0.8497
S 0.4043 0.5957 0.1812
S 0.5957 0.4043 0.6812
S 0.7492 0.2508 0.3497
S 0.9086 0.0914 0.6562